FeOsW | PBE | relaxed

Results
E above lowest polymorph: 556 meV/atom
ΔH_f (0 K): 2.07 eV per formula unit

```
FeOsW
1.0
-1.624 3.621 -1.154
-3.169 0.093 -2.651
-3.763 1.090 1.315
Fe Os W
1 1 1
Cartesian
0.000 0.000 0.000
-4.278 2.402 -1.245
-6.417 3.603 -1.867
```